VASP calculation (PBEsol) on a geometry-optimized CuSbSeN2 structure.

```
CuSbSeN2
1.0
-0.249 -1.898 3.376
-3.323 -1.633 -1.164
2.954 -4.401 -2.256
Sb N Cu Se
1 2 1 1
Direct
0.000 0.000 0.000
0.500 0.000 0.000
0.000 0.500 0.000
0.500 0.500 0.500
0.000 0.000 0.500
```

Summary:
Formation energy (no corrections): 1.31 eV per atom
M_tot: 0.77 μB/f.u.
Calculated total energy: -4.649 eV/atom